No. 1
Density functional theory data (meta-GGA SCAN) for KZnBr2 at its PBEsol-relaxed geometry.

Cell and atoms, written as POSCAR:
```
KZnBr2
1.0
5.2051 0.0000 0.0000
0.0000 5.2051 0.0000
0.0000 0.0000 3.7137
K Zn Br
1 1 2
direct
0.0000 0.0000 0.0000
0.5000 0.5000 0.0000
0.0000 0.5000 0.5000
0.5000 0.0000 0.5000
```

Summary:
space-group type: No. 123
E_tot: -1.179 Ry per atom
N(E_F): 1.65 states/eV per cell
total magnetic moment: 0.00 μB/atom

No. 2
Density functional theory data (meta-GGA SCAN) for KZnBr at its PBEsol-relaxed geometry.

Cell and atoms, written as POSCAR:
```
KZnBr
1.0
0.0000 3.7970 3.7970
3.7970 0.0000 3.7970
3.7970 3.7970 0.0000
K Zn Br
1 1 1
direct
0.0000 0.0000 0.0000
0.7500 0.7500 0.7500
0.2500 0.2500 0.2500
```

Summary:
space-group type: No. 216
E_tot: -1.065 Ry per atom
N(E_F): 0.00 states/eV per cell
total magnetic moment: 0.00 μB/atom

No. 3
Density functional theory data (meta-GGA SCAN) for K2ZnBr4 at its PBEsol-relaxed geometry.

Cell and atoms, written as POSCAR:
```
K2ZnBr4
1.0
7.2024 0.0000 0.0000
0.0000 7.3406 0.0000
-2.9021 0.0000 8.5741
K Zn Br
4 2 8
direct
0.2147 0.2500 0.0499
0.2708 0.2500 0.5715
0.7292 0.7500 0.4285
0.7853 0.7500 0.9501
0.2177 0.7500 0.7962
0.7823 0.2500 0.2038
0.0040 0.5050 0.2645
0.0040 0.9950 0.2645
0.3973 0.7500 0.0696
0.4182 0.7500 0.6304
0.5818 0.2500 0.3696
0.6027 0.2500 0.9304
0.9960 0.0050 0.7355
0.9960 0.4950 0.7355
```

Summary:
space-group type: No. 11
E_tot: -1.249 Ry per atom
N(E_F): 0.00 states/eV per cell
total magnetic moment: 0.00 μB/atom

No. 4
Density functional theory data (meta-GGA SCAN) for KZnBr2 at its PBEsol-relaxed geometry.

Cell and atoms, written as POSCAR:
```
KZnBr2
1.0
-2.0961 2.0961 6.5795
2.0961 -2.0961 6.5795
2.0961 2.0961 -6.5795
K Zn Br
1 1 2
direct
0.0000 0.0000 0.0000
0.7500 0.2500 0.5000
0.2500 0.7500 0.5000
0.5000 0.5000 0.0000
```

Summary:
space-group type: No. 119
E_tot: -1.177 Ry per atom
N(E_F): 0.99 states/eV per cell
total magnetic moment: 0.00 μB/atom

No. 5
Density functional theory data (meta-GGA SCAN) for K3ZrBr at its PBEsol-relaxed geometry.

Cell and atoms, written as POSCAR:
```
K3ZrBr
1.0
6.1598 0.0000 0.0000
0.0000 6.1598 0.0000
0.0000 0.0000 6.1598
K Zr Br
3 1 1
direct
0.0000 0.0000 0.5000
0.0000 0.5000 0.0000
0.5000 0.0000 0.0000
0.5000 0.5000 0.5000
0.0000 0.0000 0.0000
```

Summary:
space-group type: No. 221
E_tot: -1.099 Ry per atom
N(E_F): 5.93 states/eV per cell
total magnetic moment: 0.80 μB/atom

No. 6
Density functional theory data (meta-GGA SCAN) for KZr2Br at its PBEsol-relaxed geometry.

Cell and atoms, written as POSCAR:
```
KZr2Br
1.0
3.2706 0.0000 0.0000
0.0000 3.2706 0.0000
0.0000 0.0000 9.7796
K Zr Br
1 2 1
direct
0.0000 0.0000 0.0000
0.0000 0.0000 0.5455
0.5000 0.5000 0.3393
0.5000 0.5000 0.7594
```

Summary:
space-group type: No. 99
E_tot: -1.662 Ry per atom
N(E_F): 0.60 states/eV per cell
total magnetic moment: 0.00 μB/atom

No. 7
Density functional theory data (meta-GGA SCAN) for KZrBr2 at its PBEsol-relaxed geometry.

Cell and atoms, written as POSCAR:
```
KZrBr2
1.0
3.5015 0.0000 0.0000
0.0000 5.3028 0.0000
-1.7418 0.0000 5.4051
K Zr Br
1 1 2
direct
0.0000 0.0000 0.0000
0.7215 0.5000 0.4458
0.4389 0.5000 0.8790
0.7251 0.0000 0.4530
```

Summary:
space-group type: No. 6
E_tot: -1.495 Ry per atom
N(E_F): 2.09 states/eV per cell
total magnetic moment: 0.00 μB/atom

No. 8
Density functional theory data (meta-GGA SCAN) for KZr2Br at its PBEsol-relaxed geometry.

Cell and atoms, written as POSCAR:
```
KZr2Br
1.0
0.0000 3.7255 3.7255
3.7255 0.0000 3.7255
3.7255 3.7255 0.0000
K Zr Br
1 2 1
direct
0.0000 0.0000 0.0000
0.5000 0.5000 0.5000
0.7500 0.7500 0.7500
0.2500 0.2500 0.2500
```

Summary:
space-group type: No. 216
E_tot: -1.584 Ry per atom
N(E_F): 3.07 states/eV per cell
total magnetic moment: 1.05 μB/atom